The following is a PBEsol calculation of a geometry-optimized ZnTcAg2 structure, from the Alexandria database.

Cell lengths 2.6553, 3.9447, 5.7770 Å; angles 90.00, 90.00, 90.00 degrees
Closest atoms and distances in Å follow each position.
Fractional coordinates of all 4 atoms:
Tc1 0.0000 0.0000 0.5129  2 Tc 2.66, 4 Zn 2.70, 5 Ag 2.79-2.80
Zn1 0.5000 0.5000 0.7359  2 Zn 2.66, 4 Tc 2.70, 5 Ag 2.77-2.81
Ag1 0.5000 0.5000 0.2561  6 Ag 2.66-2.82, 1 Zn 2.77, 4 Tc 2.80
Ag2 0.0000 0.0000 0.9951  6 Ag 2.66-2.82, 1 Tc 2.79, 4 Zn 2.81

Properties
ρ = 10.4 g cm⁻³
total magnetic moment = 0.0 μB per formula unit
final energy = -4.55 eV per atom

The following is a PBEsol calculation of a geometry-optimized ZrTcAg structure, from the Alexandria database.

Cell lengths 4.4031, 4.4031, 4.4031 Å; angles 60.00, 60.00, 60.00 degrees
Closest atoms and distances in Å follow each position.
Fractional coordinates of all 3 atoms:
Tc1 0.2500 0.2500 0.2500  4 Zr 2.70, 4 Ag 2.70
Zr1 0.0000 0.0000 0.0000  4 Tc 2.70
Ag1 0.5000 0.5000 0.5000  4 Tc 2.70

Properties
ρ = 8.2 g cm⁻³
distance to the lowest polymorph of the same formula = 0.611 eV per atom
total magnetic moment = 1.0 μB per formula unit
final energy = -7.10 eV per atom

The following is a PBEsol calculation of a geometry-optimized ZrTcAg2 structure, from the Alexandria database.

Cell lengths 2.7947, 2.7947, 10.0050 Å; angles 81.97, 81.97, 60.00 degrees
Closest atoms and distances in Å follow each position.
Fractional coordinates of all 4 atoms:
Zr1 0.0000 0.0000 0.0000  6 Zr 2.79, 6 Ag 3.05
Ag1 0.2459 0.2459 0.2622  6 Ag 2.79, 3 Tc 2.85, 3 Zr 3.05
Ag2 0.7541 0.7541 0.7378  6 Ag 2.79, 3 Tc 2.85, 3 Zr 3.05
Tc1 0.5000 0.5000 0.5000  6 Tc 2.79, 6 Ag 2.85

Properties
ρ = 10.1 g cm⁻³
distance to the lowest polymorph of the same formula = 0.285 eV per atom
total magnetic moment = 0.0 μB per formula unit
final energy = -6.40 eV per atom

The following is a PBEsol calculation of a geometry-optimized ZrTcAg2 structure, from the Alexandria database.

Cell lengths 3.5965, 4.0727, 4.5348 Å; angles 90.00, 90.00, 90.00 degrees
Closest atoms and distances in Å follow each position.
Fractional coordinates of all 4 atoms:
Tc1 0.5000 0.0000 0.5000  4 Zr 2.72, 4 Ag 2.89
Ag1 0.0000 0.0000 0.0000  4 Ag 2.72, 4 Tc 2.89
Ag2 0.5000 0.5000 0.0000  4 Ag 2.72, 4 Zr 2.89
Zr1 0.0000 0.5000 0.5000  4 Tc 2.72, 4 Ag 2.89

Properties
ρ = 10.1 g cm⁻³
distance to the lowest polymorph of the same formula = 0.000 eV per atom
total magnetic moment = 0.0 μB per formula unit
final energy = -6.68 eV per atom